Entry 1:
! CaZr2Tc (PBE, optimized geometry); values from VASP
! * offset from the most stable computed form: 111 meV/atom
! * formation enthalpy at 0 K: 0.085 eV/atom
! * total magnetization: 0.00 μB per atom
! * DOS at the Fermi energy: 4.14 states/eV/cell
! * electronic total energy: -7.281 eV/atom
&SYSTEM
  ibrav = 0, nat = 4, ntyp = 3
/
ATOMIC_SPECIES
Ca 40.08 Ca.upf
Zr 91.22 Zr.upf
Tc 98.00 Tc.upf
CELL_PARAMETERS angstrom
-1.737 2.701 4.926
1.737 -2.701 4.926
1.737 2.701 -4.926
ATOMIC_POSITIONS angstrom
Ca 0.000 0.000 0.000
Zr 1.737 0.000 2.937
Zr 0.000 2.701 1.989
Tc 0.000 0.000 4.926



Entry 2:
! OsWBr2 (PBE, optimized geometry); values from VASP
! * offset from the most stable computed form: 446 meV/atom
! * total magnetization: 0.00 μB per atom
! * formation energy without anion corrections: 2.619 eV per formula unit
! * DOS at the Fermi energy: 1.21 states/eV/cell
! * electronic total energy: -6.227 eV/atom
&SYSTEM
  ibrav = 0, nat = 4, ntyp = 3
/
ATOMIC_SPECIES
Os 190.23 Os.upf
W 183.84 W.upf
Br 79.90 Br.upf
CELL_PARAMETERS angstrom
7.354 -1.580 0.000
7.354 1.580 0.000
-0.370 0.000 4.239
ATOMIC_POSITIONS angstrom
Os 0.000 0.000 0.000
W 7.169 0.000 2.120
Br 1.846 0.000 3.035
Br 12.492 0.000 1.204



Entry 3:
! FeCuNi2C (PBE, optimized geometry); values from VASP
! * formation enthalpy at 0 K: 0.141 eV/atom
! * total magnetization: 0.27 μB per atom
! * DOS at the Fermi energy: 5.28 states/eV/cell
! * electronic total energy: -6.528 eV/atom
&SYSTEM
  ibrav = 0, nat = 5, ntyp = 4
/
ATOMIC_SPECIES
Fe 55.84 Fe.upf
Cu 63.55 Cu.upf
Ni 58.69 Ni.upf
C 12.01 C.upf
CELL_PARAMETERS angstrom
3.761 0.000 0.000
0.000 3.761 0.000
0.000 0.000 3.728
ATOMIC_POSITIONS angstrom
Fe 0.000 0.000 0.000
Cu 1.880 1.880 0.000
Ni 0.000 1.880 1.864
Ni 1.880 0.000 1.864
C 0.000 0.000 1.864



Entry 4:
! CuSi2Rh (PBE, optimized geometry); values from VASP
! * total magnetization: 0.00 μB per atom
! * formation energy without anion corrections: -0.593 eV per formula unit
! * DOS at the Fermi energy: 2.25 states/eV/cell
! * electronic total energy: -5.722 eV/atom
&SYSTEM
  ibrav = 0, nat = 4, ntyp = 3
/
ATOMIC_SPECIES
Cu 63.55 Cu.upf
Si 28.09 Si.upf
Rh 102.91 Rh.upf
CELL_PARAMETERS angstrom
0.000 2.971 2.971
2.971 0.000 2.971
2.971 2.971 0.000
ATOMIC_POSITIONS angstrom
Cu 0.000 0.000 0.000
Si 1.485 1.485 1.485
Si 4.456 4.456 4.456
Rh 2.971 2.971 2.971